The following is a GGA-PBE calculation of an optimized crystal structure of LaTl2Se, from Alexandria.

a b c (Å): 9.2535 9.2535 9.2535
angles (deg): 26.36 26.36 26.36
With the nearest neighbours (Å) after each atom.
Positions (direct):
La (0.4895, 0.4895, 0.4895)  3 Se 2.93
Se (0.7618, 0.7618, 0.7618)  3 La 2.93
Tl (0.0026, 0.0026, 0.0026)  3 Tl 3.43, 3 Se 3.47
Tl (0.2461, 0.2461, 0.2461)  3 La 3.42, 3 Tl 3.43

Output
- symmetry = R3m, No. 160

The following is a GGA-PBE calculation of an optimized crystal structure of La4TlSe, from Alexandria.

a b c (Å): 6.4282 6.4282 6.4282
angles (deg): 60.00 60.00 60.00
With the nearest neighbours (Å) after each atom.
Positions (direct):
La (0.8782, 0.3739, 0.3739)  6 La 3.19-3.24
La (0.3739, 0.3739, 0.8782)  6 La 3.19-3.24
La (0.3739, 0.8782, 0.3739)  6 La 3.19-3.24
La (0.3739, 0.3739, 0.3739)  6 La 3.19-3.24
Tl (0.0000, 0.0000, 0.0000)  12 La 3.77, 4 Se 3.94
Se (0.7500, 0.7500, 0.7500)  12 La 3.77, 4 Tl 3.94

Output
- symmetry = F-43m, No. 216

The following is a GGA-PBE calculation of an optimized crystal structure of LaTlSe2, from Alexandria.

a b c (Å): 5.3223 5.3223 5.3223
angles (deg): 60.00 60.00 60.00
With the nearest neighbours (Å) after each atom.
Positions (direct):
Tl (0.5000, 0.5000, 0.5000)  8 Se 3.26
Se (0.2500, 0.2500, 0.2500)  4 Tl 3.26, 4 La 3.26
Se (0.7500, 0.7500, 0.7500)  4 Tl 3.26, 4 La 3.26
La (0.0000, 0.0000, 0.0000)  8 Se 3.26

Output
- symmetry = Fm-3m, No. 225

The following is a GGA-PBE calculation of an optimized crystal structure of La2TlSe, from Alexandria.

a b c (Å): 6.4000 6.4000 5.0946
angles (deg): 89.99 89.99 35.95
With the nearest neighbours (Å) after each atom.
Positions (direct):
La (0.9995, 0.9995, 0.1252)  3 Tl 3.19-3.51, 4 Se 3.22
La (0.7462, 0.7462, 0.6247)  1 Se 3.09, 4 Tl 3.23
Se (0.4927, 0.4927, 0.6253)  5 La 3.09-3.22
Tl (0.2616, 0.2616, 0.1248)  7 La 3.19-3.51

Output
- energy above the lowest structure with this stoichiometry (eV/f.u.) = 0.63
- symmetry = Amm2, No. 38

The following is a GGA-PBE calculation of an optimized crystal structure of La2TlSe, from Alexandria.

a b c (Å): 5.4872 5.4872 5.4872
angles (deg): 60.00 60.00 60.00
With the nearest neighbours (Å) after each atom.
Positions (direct):
Tl (0.5000, 0.5000, 0.5000)  8 La 3.36
Se (0.0000, 0.0000, 0.0000)  8 La 3.36
La (0.2500, 0.2500, 0.2500)  4 Tl 3.36, 4 Se 3.36
La (0.7500, 0.7500, 0.7500)  4 Se 3.36, 4 Tl 3.36

Output
- energy above the lowest structure with this stoichiometry (eV/f.u.) = 1.32
- symmetry = Fm-3m, No. 225

The following is a GGA-PBE calculation of an optimized crystal structure of LaTlSe2, from Alexandria.

a b c (Å): 5.3041 5.3041 5.3041
angles (deg): 60.00 60.00 60.00
With the nearest neighbours (Å) after each atom.
Positions (direct):
La (0.5000, 0.5000, 0.5000)  4 Se 3.25, 4 Tl 3.25
Se (0.0000, 0.0000, 0.0000)  4 Tl 3.25, 4 Se 3.25
Se (0.2500, 0.2500, 0.2500)  4 La 3.25, 4 Se 3.25
Tl (0.7500, 0.7500, 0.7500)  4 La 3.25, 4 Se 3.25

Output
- symmetry = F-43m, No. 216

The following is a GGA-PBE calculation of an optimized crystal structure of LaTl2Se, from Alexandria.

a b c (Å): 5.8090 5.8090 5.6940
angles (deg): 74.32 74.32 40.76
With the nearest neighbours (Å) after each atom.
Positions (direct):
La (0.5278, 0.5278, 0.3870)  3 Se 3.10, 2 Tl 3.39
Se (0.2442, 0.2442, 0.3805)  3 La 3.10, 2 Tl 3.10
Tl (0.9874, 0.9874, 0.9373)  3 Tl 3.02-3.33
Tl (0.7407, 0.7407, 0.7952)  3 Tl 3.02-3.33, 2 Se 3.10

Output
- symmetry = Cm, No. 8

The following is a GGA-PBE calculation of an optimized crystal structure of La2TlSe, from Alexandria.

a b c (Å): 8.7270 8.7270 8.7270
angles (deg): 154.32 153.47 37.25
With the nearest neighbours (Å) after each atom.
Positions (direct):
La (0.0344, 0.0344, 0.0000)  4 Se 3.07, 2 Tl 3.35
La (0.3127, 0.8127, 0.5000)  2 Se 3.06, 4 Tl 3.38
Se (0.4559, 0.4559, 0.0000)  6 La 3.06-3.07
Tl (0.6969, 0.1969, 0.5000)  6 La 3.35-3.38

Output
- energy above the lowest structure with this stoichiometry (eV/f.u.) = 0.57
- symmetry = Imm2, No. 44

The following is a GGA-PBE calculation of an optimized crystal structure of LaTl2Se, from Alexandria.

a b c (Å): 8.9478 8.9478 7.0354
angles (deg): 50.51 50.51 90.00
With the nearest neighbours (Å) after each atom.
Positions (direct):
Tl (0.5953, 0.1250, 0.2500)  2 Se 3.08, 2 Tl 3.12, 2 La 3.44
Tl (0.1547, 0.6250, 0.2500)  2 Se 3.08, 2 Tl 3.12, 2 La 3.44
Tl (0.3750, 0.4047, 0.7500)  2 Se 3.08, 2 Tl 3.12, 2 La 3.44
Tl (0.8750, 0.8453, 0.7500)  2 Se 3.08, 2 Tl 3.12, 2 La 3.44
Se (0.5000, 0.5000, 0.0000)  2 La 3.08, 4 Tl 3.08
Se (0.2500, 0.7500, 0.5000)  2 La 3.08, 4 Tl 3.08
La (0.0000, 0.0000, 0.0000)  2 Se 3.08, 4 Tl 3.44
La (0.7500, 0.2500, 0.5000)  2 Se 3.08, 4 Tl 3.44

Output
- symmetry = I-42d, No. 122

The following is a GGA-PBE calculation of an optimized crystal structure of La2Tl4Se5, from Alexandria.

a b c (Å): 4.4375 4.4375 24.1623
angles (deg): 84.73 84.73 60.00
With the nearest neighbours (Å) after each atom.
Positions (direct):
La (0.1405, 0.1405, 0.5784)  6 Se 2.93-3.18
La (0.8595, 0.8595, 0.4216)  6 Se 2.93-3.18
Tl (0.6869, 0.6869, 0.9393)  3 Se 2.97
Tl (0.5880, 0.5880, 0.2361)  1 Se 2.72
Tl (0.4120, 0.4120, 0.7639)  1 Se 2.72
Tl (0.3131, 0.3131, 0.0607)  3 Se 2.97
Se (0.7875, 0.7875, 0.6374)  3 La 2.93
Se (0.6257, 0.6257, 0.1229)  4 Tl 2.72-2.97
Se (0.5000, 0.5000, 0.5000)  6 La 3.18
Se (0.3743, 0.3743, 0.8771)  4 Tl 2.72-2.97
Se (0.2125, 0.2125, 0.3626)  3 La 2.93

Output
- symmetry = R-3m, No. 166

The following is a GGA-PBE calculation of an optimized crystal structure of La2TlSe, from Alexandria.

a b c (Å): 6.3548 6.3544 12.6876
angles (deg): 90.04 90.00 90.00
With the nearest neighbours (Å) after each atom.
Positions (direct):
La (0.7498, 0.9997, 0.8873)  3 Se 3.02-3.18, 3 Tl 3.18-3.33
La (0.2502, 0.0003, 0.1127)  3 Se 3.02-3.18, 3 Tl 3.18-3.33
La (0.7498, 0.5003, 0.6127)  3 Se 3.02-3.18, 3 Tl 3.18-3.33
La (0.2502, 0.4997, 0.3873)  3 Se 3.02-3.18, 3 Tl 3.18-3.33
La (0.7504, 0.5000, 0.1372)  3 Se 3.02-3.18, 3 Tl 3.18-3.33
La (0.2496, 0.5000, 0.8628)  3 Se 3.02-3.18, 3 Tl 3.18-3.33
La (0.7504, 0.0000, 0.3628)  3 Se 3.02-3.18, 3 Tl 3.18-3.33
La (0.2496, 0.0000, 0.6372)  3 Se 3.02-3.18, 3 Tl 3.18-3.33
Tl (0.2505, 0.9996, 0.3749)  6 La 3.18-3.33
Tl (0.7495, 0.0004, 0.6251)  6 La 3.18-3.33
Tl (0.2505, 0.5004, 0.1251)  6 La 3.18-3.33
Tl (0.7495, 0.4996, 0.8749)  6 La 3.18-3.33
Se (0.2497, 0.5000, 0.6250)  6 La 3.02-3.18
Se (0.7503, 0.5000, 0.3750)  6 La 3.02-3.18
Se (0.2497, 0.0000, 0.8750)  6 La 3.02-3.18
Se (0.7503, 0.0000, 0.1250)  6 La 3.02-3.18

Output
- energy above the lowest structure with this stoichiometry (eV/f.u.) = 0.10
- symmetry = P2/c, No. 13

The following is a GGA-PBE calculation of an optimized crystal structure of La2TlSe3, from Alexandria.

a b c (Å): 4.3417 4.3417 22.8841
angles (deg): 90.00 90.00 120.00
With the nearest neighbours (Å) after each atom.
Positions (direct):
La (0.3333, 0.6667, 0.9217)  6 Se 3.01-3.08
La (0.6667, 0.3333, 0.0783)  6 Se 3.01-3.08
La (0.6667, 0.3333, 0.4217)  6 Se 3.01-3.08
La (0.3333, 0.6667, 0.5783)  6 Se 3.01-3.08
Tl (0.0000, 0.0000, 0.2500)  6 Se 3.37
Tl (0.0000, 0.0000, 0.7500)  6 Se 3.37
Se (0.0000, 0.0000, 0.0000)  6 La 3.08
Se (0.3333, 0.6667, 0.1514)  3 La 3.01, 3 Tl 3.37
Se (0.3333, 0.6667, 0.3486)  3 La 3.01, 3 Tl 3.37
Se (0.0000, 0.0000, 0.5000)  6 La 3.08
Se (0.6667, 0.3333, 0.6514)  3 La 3.01, 3 Tl 3.37
Se (0.6667, 0.3333, 0.8486)  3 La 3.01, 3 Tl 3.37

Output
- symmetry = P6_3/mmc, No. 194

The following is a GGA-PBE calculation of an optimized crystal structure of LaTlSe2, from Alexandria.

a b c (Å): 4.4155 4.4155 8.2211
angles (deg): 74.42 74.42 60.00
With the nearest neighbours (Å) after each atom.
Positions (direct):
La (0.6669, 0.6669, 0.9992)  6 Se 3.01-3.05
Tl (0.4959, 0.4959, 0.5122)  6 Se 3.32-3.51
Se (0.0717, 0.0717, 0.7849)  3 La 3.05, 3 Tl 3.32
Se (0.2655, 0.2655, 0.2036)  3 La 3.01

Output
- symmetry = R3m, No. 160

The following is a GGA-PBE calculation of an optimized crystal structure of LaTlSe, from Alexandria.

a b c (Å): 5.1928 5.1928 5.1928
angles (deg): 60.00 60.00 60.00
With the nearest neighbours (Å) after each atom.
Positions (direct):
La (0.2500, 0.2500, 0.2500)  4 Tl 3.18, 4 Se 3.18
Se (0.0000, 0.0000, 0.0000)  4 La 3.18
Tl (0.5000, 0.5000, 0.5000)  4 La 3.18

Output
- energy above the lowest structure with this stoichiometry (eV/f.u.) = 1.58
- symmetry = F-43m, No. 216

The following is a GGA-PBE calculation of an optimized crystal structure of La2TlSe, from Alexandria.

a b c (Å): 9.9642 9.9642 9.9642
angles (deg): 23.01 23.01 23.01
With the nearest neighbours (Å) after each atom.
Positions (direct):
La (0.0018, 0.0018, 0.0018)  3 Tl 3.54, 3 La 3.71
La (0.2351, 0.2351, 0.2351)  3 Se 3.01
Se (0.5017, 0.5017, 0.5017)  3 La 3.01, 3 Tl 3.14
Tl (0.7613, 0.7613, 0.7613)  3 Se 3.14

Output
- energy above the lowest structure with this stoichiometry (eV/f.u.) = 2.54
- symmetry = R3m, No. 160

The following is a GGA-PBE calculation of an optimized crystal structure of La2TlSe, from Alexandria.

a b c (Å): 5.4432 5.4432 5.4432
angles (deg): 60.00 60.00 60.00
With the nearest neighbours (Å) after each atom.
Positions (direct):
La (0.0000, 0.0000, 0.0000)  4 La 3.33, 4 Tl 3.33
La (0.2500, 0.2500, 0.2500)  4 La 3.33, 4 Se 3.33
Se (0.5000, 0.5000, 0.5000)  4 Tl 3.33, 4 La 3.33
Tl (0.7500, 0.7500, 0.7500)  4 La 3.33, 4 Se 3.33

Output
- energy above the lowest structure with this stoichiometry (eV/f.u.) = 3.34
- symmetry = F-43m, No. 216

The following is a GGA-PBE calculation of an optimized crystal structure of LaTlSe, from Alexandria.

a b c (Å): 6.5814 6.5814 4.1141
angles (deg): 71.79 71.79 36.43
With the nearest neighbours (Å) after each atom.
Positions (direct):
La (0.9501, 0.9501, 0.0499)  4 Se 2.98
Se (0.3973, 0.3973, 0.6027)  4 La 2.98, 1 Tl 3.01
Tl (0.6526, 0.6526, 0.3474)  1 Se 3.01

Output
- energy above the lowest structure with this stoichiometry (eV/f.u.) = 0.47
- symmetry = I4mm, No. 107

The following is a GGA-PBE calculation of an optimized crystal structure of LaTl2Se, from Alexandria.

a b c (Å): 4.0252 4.6931 6.1667
angles (deg): 90.00 90.00 90.00
With the nearest neighbours (Å) after each atom.
Positions (direct):
La (0.5000, 0.0000, 0.5000)  4 Se 3.09
Se (0.0000, 0.5000, 0.5000)  4 La 3.09
Tl (0.0000, 0.0000, 0.0000)  4 Tl 3.09
Tl (0.5000, 0.5000, 0.0000)  4 Tl 3.09

Output
- symmetry = Pmmm, No. 47

The following is a GGA-PBE calculation of an optimized crystal structure of LaTl2Se, from Alexandria.

a b c (Å): 5.8530 5.8530 5.8530
angles (deg): 131.05 131.05 71.73
With the nearest neighbours (Å) after each atom.
Positions (direct):
La (0.5000, 0.5000, 0.0000)  8 Tl 3.39-3.43, 4 Se 3.39
Se (0.7500, 0.2500, 0.5000)  4 La 3.39, 8 Tl 3.39-3.43
Tl (0.0000, 0.0000, 0.0000)  4 Se 3.39, 4 Tl 3.39, 4 La 3.43
Tl (0.2500, 0.7500, 0.5000)  4 Tl 3.39, 4 La 3.39, 4 Se 3.43

Output
- symmetry = I-4m2, No. 119

The following is a GGA-PBE calculation of an optimized crystal structure of LaTl2Se, from Alexandria.

a b c (Å): 9.5370 9.5370 9.5370
angles (deg): 23.43 23.43 23.43
With the nearest neighbours (Å) after each atom.
Positions (direct):
La (0.2500, 0.2500, 0.2500)  6 Tl 3.50, 6 La 3.87
Se (0.7500, 0.7500, 0.7500)  6 Tl 2.96
Tl (0.0134, 0.0134, 0.0134)  3 Se 2.96
Tl (0.4866, 0.4866, 0.4866)  3 Se 2.96

Output
- symmetry = R-3m, No. 166

Number 1: raw formation energy -0.641 eV per atom. Number 2: raw formation energy -0.045 eV per atom. Number 3: raw formation energy -1.254 eV per atom. Number 4: raw formation energy -0.989 eV per atom. Number 5: raw formation energy -0.814 eV per atom. Number 6: raw formation energy -0.700 eV per atom. Number 7: raw formation energy -0.661 eV per atom. Number 8: raw formation energy -1.003 eV per atom. Number 9: raw formation energy -0.487 eV per atom. Number 10: raw formation energy -0.962 eV per atom. Number 11: raw formation energy -1.119 eV per atom. Number 12: raw formation energy -1.618 eV per atom. Number 13: raw formation energy -1.433 eV per atom. Number 14: raw formation energy -0.595 eV per atom. Number 15: raw formation energy -0.510 eV per atom. Number 16: raw formation energy -0.309 eV per atom. Number 17: raw formation energy -0.964 eV per atom. Number 18: raw formation energy -0.709 eV per atom. Number 19: raw formation energy -0.629 eV per atom. Number 20: raw formation energy -0.253 eV per atom.